Here is a geometry-optimized Mg3Cu2Rh structure from the Alexandria database. Energies are from GGA-PBE. Values from VASP.

Computed properties:
calculated density = 5.42 Mg/m³
formation energy from the elements = -0.25 eV/atom

Quantum ESPRESSO input file:
```
&SYSTEM
  ibrav = 0, nat = 6, ntyp = 3
/
ATOMIC_SPECIES
Mg 24.30 Mg.upf
Cu 63.55 Cu.upf
Rh 102.91 Rh.upf
CELL_PARAMETERS angstrom
4.419 0.000 0.000
-2.209 3.827 0.000
0.000 0.000 5.486
ATOMIC_POSITIONS crystal
Mg 0.000 0.000 0.000
Mg 0.333 0.667 0.668
Mg 0.667 0.333 0.332
Cu 0.333 0.667 0.180
Cu 0.667 0.333 0.820
Rh 0.000 0.000 0.500
```



Here is a geometry-optimized Sr2CaCdO structure from the Alexandria database. Energies are from GGA-PBE. Values from VASP.

Computed properties:
uncorrected formation energy = -1.224 eV per atom
calculated density = 4.17 Mg/m³

Quantum ESPRESSO input file:
```
&SYSTEM
  ibrav = 0, nat = 5, ntyp = 4
/
ATOMIC_SPECIES
Sr 87.62 Sr.upf
Ca 40.08 Ca.upf
Cd 112.41 Cd.upf
O 16.00 O.upf
CELL_PARAMETERS angstrom
5.395 0.000 0.000
0.000 5.395 0.000
0.000 0.000 4.706
ATOMIC_POSITIONS crystal
Sr 0.000 0.500 0.000
Sr 0.500 0.000 0.000
Ca 0.000 0.000 0.500
Cd 0.500 0.500 0.500
O 0.000 0.000 0.000
```



Here is a geometry-optimized TiTlHg2Ge structure from the Alexandria database. Energies are from GGA-PBE. Values from VASP.

Computed properties:
calculated density = 8.19 Mg/m³
formation energy from the elements = 0.29 eV/atom

Quantum ESPRESSO input file:
```
&SYSTEM
  ibrav = 0, nat = 5, ntyp = 4
/
ATOMIC_SPECIES
Ti 47.87 Ti.upf
Tl 204.38 Tl.upf
Hg 200.59 Hg.upf
Ge 72.64 Ge.upf
CELL_PARAMETERS angstrom
5.456 0.000 0.000
0.000 5.456 0.000
0.000 0.000 4.949
ATOMIC_POSITIONS crystal
Ti 0.000 0.000 0.000
Tl 0.500 0.500 0.500
Hg 0.000 0.500 0.000
Hg 0.500 0.000 0.000
Ge 0.000 0.000 0.500
```



Here is a geometry-optimized HgPbSe2 structure from the Alexandria database. Energies are from GGA-PBE. Values from VASP.

Computed properties:
ΔE to the lowest computed polymorph = 0.090 eV/atom
uncorrected formation energy = -0.212 eV per atom
calculated density = 8.59 Mg/m³

Quantum ESPRESSO input file:
```
&SYSTEM
  ibrav = 0, nat = 4, ntyp = 3
/
ATOMIC_SPECIES
Hg 200.59 Hg.upf
Pb 207.20 Pb.upf
Se 78.96 Se.upf
CELL_PARAMETERS angstrom
6.382 -2.129 0.000
6.382 2.129 0.000
-1.400 0.000 4.022
ATOMIC_POSITIONS crystal
Hg 0.000 0.000 0.000
Pb 0.266 0.266 0.266
Se 0.508 0.508 0.505
Se 0.773 0.773 0.771
```



Here is a geometry-optimized Sm2Er12Tm5 structure from the Alexandria database. Energies are from GGA-PBE. Values from VASP.

Computed properties:
ΔE to the lowest computed polymorph = 0.000 eV/atom
calculated density = 8.99 Mg/m³
formation energy from the elements = 0.02 eV/atom

Quantum ESPRESSO input file:
```
&SYSTEM
  ibrav = 0, nat = 19, ntyp = 3
/
ATOMIC_SPECIES
Sm 150.36 Sm.upf
Er 167.26 Er.upf
Tm 168.93 Tm.upf
CELL_PARAMETERS angstrom
6.087 0.000 0.000
3.039 8.787 0.000
2.037 0.709 10.884
ATOMIC_POSITIONS crystal
Sm 0.236 0.474 0.080
Sm 0.764 0.526 0.920
Er 0.027 0.052 0.343
Er 0.133 0.262 0.709
Er 0.184 0.368 0.396
Er 0.290 0.580 0.761
Er 0.394 0.791 0.133
Er 0.446 0.896 0.815
Er 0.554 0.104 0.185
Er 0.606 0.209 0.867
Er 0.710 0.420 0.239
Er 0.816 0.632 0.604
Er 0.867 0.738 0.291
Er 0.973 0.948 0.657
Tm 0.079 0.156 0.027
Tm 0.341 0.685 0.447
Tm 0.500 0.000 0.500
Tm 0.659 0.315 0.553
Tm 0.921 0.844 0.973
```



Here is a geometry-optimized CdPdO2F structure from the Alexandria database. Energies are from GGA-PBE. Values from VASP.

Computed properties:
uncorrected formation energy = 0.022 eV per atom
calculated density = 5.87 Mg/m³

Quantum ESPRESSO input file:
```
&SYSTEM
  ibrav = 0, nat = 5, ntyp = 4
/
ATOMIC_SPECIES
Cd 112.41 Cd.upf
Pd 106.42 Pd.upf
O 16.00 O.upf
F 19.00 F.upf
CELL_PARAMETERS angstrom
4.237 0.000 0.000
0.000 4.237 0.000
0.000 0.000 4.251
ATOMIC_POSITIONS crystal
Cd 0.000 0.000 0.000
Pd 0.500 0.500 0.500
O 0.000 0.500 0.000
O 0.500 0.000 0.000
F 0.000 0.000 0.500
```